[1]
This record from Alexandria via LeMat-Bulk describes crystalline MgNb3Ge at its relaxed geometry. The functional is PBE. Values from VASP.

Cell and atoms, written as Quantum ESPRESSO input:
```
&SYSTEM
  ibrav = 0, nat = 5, ntyp = 3
/
ATOMIC_SPECIES
Mg 24.30 Mg.upf
Nb 92.91 Nb.upf
Ge 72.64 Ge.upf
CELL_PARAMETERS angstrom
4.813 0.000 0.000
0.000 4.813 0.000
0.000 0.000 4.813
ATOMIC_POSITIONS angstrom
Mg 0.000 0.000 0.000
Nb 0.000 2.406 2.406
Nb 2.406 0.000 2.406
Nb 2.406 2.406 0.000
Ge 2.406 2.406 2.406
```

Properties
For the total DFT energy (no corrections), the calculation gives -6.5183 eV/atom. Its size of the total moment is 0.00 μB per formula unit. The calculation puts the density of states at the Fermi level at 1.68 states/eV per atom. Its space-group type is Pm-3m (221). The calculation puts the formation energy at 0.77 eV per atom. The calculation puts the mass density at 5.60 g/cm³.

---

[2]
This record from Alexandria via LeMat-Bulk describes crystalline CaNiAs3 at its relaxed geometry. The functional is PBE. Values from VASP.

Cell and atoms, written as Quantum ESPRESSO input:
```
&SYSTEM
  ibrav = 0, nat = 5, ntyp = 3
/
ATOMIC_SPECIES
Ca 40.08 Ca.upf
Ni 58.69 Ni.upf
As 74.92 As.upf
CELL_PARAMETERS angstrom
4.736 0.000 0.000
0.000 4.736 0.000
0.000 0.000 4.736
ATOMIC_POSITIONS angstrom
Ca 0.000 0.000 0.000
Ni 2.368 2.368 2.368
As 0.000 2.368 2.368
As 2.368 0.000 2.368
As 2.368 2.368 0.000
```

Properties
For the total DFT energy (no corrections), the calculation gives -4.5006 eV/atom. Its size of the total moment is 0.00 μB per formula unit. The calculation puts the density of states at the Fermi level at 0.76 states/eV per atom. Its space-group type is Pm-3m (221). The calculation puts the formation energy at -0.15 eV per atom. The calculation puts the mass density at 5.06 g/cm³.

---

[3]
This record from Alexandria via LeMat-Bulk describes crystalline NdSmAlIn at its relaxed geometry. The functional is PBE. Values from VASP.

Cell and atoms, written as Quantum ESPRESSO input:
```
&SYSTEM
  ibrav = 0, nat = 4, ntyp = 4
/
ATOMIC_SPECIES
Nd 144.24 Nd.upf
Sm 150.36 Sm.upf
Al 26.98 Al.upf
In 114.82 In.upf
CELL_PARAMETERS angstrom
3.765 0.000 0.000
0.000 3.765 0.000
0.000 0.000 7.636
ATOMIC_POSITIONS angstrom
Nd 0.000 0.000 0.000
Sm 0.000 0.000 3.662
Al 1.883 1.883 1.868
In 1.883 1.883 5.610
```

Properties
For the total DFT energy (no corrections), the calculation gives -4.4141 eV/atom. Its size of the total moment is 0.00 μB per formula unit. The calculation puts the density of states at the Fermi level at 0.53 states/eV per atom. Its space-group type is P4mm (99). The calculation puts the formation energy at -0.42 eV per atom. The calculation puts the mass density at 6.69 g/cm³.

---

[4]
This record from Alexandria via LeMat-Bulk describes crystalline BaCoRu2 at its relaxed geometry. The functional is PBE. Values from VASP.

Cell and atoms, written as Quantum ESPRESSO input:
```
&SYSTEM
  ibrav = 0, nat = 8, ntyp = 3
/
ATOMIC_SPECIES
Ba 137.33 Ba.upf
Co 58.93 Co.upf
Ru 101.07 Ru.upf
CELL_PARAMETERS angstrom
5.270 0.000 0.000
0.000 9.565 0.000
0.000 0.000 2.969
ATOMIC_POSITIONS angstrom
Ba 0.000 0.000 0.000
Ba 2.635 4.783 0.000
Co 0.000 4.783 0.000
Co 2.635 0.000 0.000
Ru 1.318 2.391 1.484
Ru 1.318 7.174 1.484
Ru 3.953 2.391 1.484
Ru 3.953 7.174 1.484
```

Properties
For the total DFT energy (no corrections), the calculation gives -5.6341 eV/atom. Its size of the total moment is 3.00 μB per formula unit. The calculation puts the density of states at the Fermi level at 1.75 states/eV per atom. Its space-group type is Cmmm (65). The calculation puts the formation energy at 1.26 eV per atom. The calculation puts the mass density at 8.84 g/cm³.

---

[5]
This record from Alexandria via LeMat-Bulk describes crystalline La2AlSi at its relaxed geometry. The functional is PBE. Values from VASP.

Cell and atoms, written as Quantum ESPRESSO input:
```
&SYSTEM
  ibrav = 0, nat = 8, ntyp = 3
/
ATOMIC_SPECIES
La 138.91 La.upf
Al 26.98 Al.upf
Si 28.09 Si.upf
CELL_PARAMETERS angstrom
4.128 0.000 0.000
0.000 4.565 0.000
0.000 0.000 11.595
ATOMIC_POSITIONS angstrom
La 0.000 0.000 0.000
La 0.000 2.282 5.798
La 2.064 0.000 3.321
La 2.064 2.282 9.119
Al 2.064 0.000 6.732
Al 2.064 2.282 0.935
Si 0.000 0.000 8.267
Si 0.000 2.282 2.469
```

Properties
For the total DFT energy (no corrections), the calculation gives -5.3524 eV/atom. Its size of the total moment is 0.02 μB per formula unit. The calculation puts the density of states at the Fermi level at 0.82 states/eV per atom. Its space-group type is Amm2 (38). The uncorrected formation energy is -0.60 eV/atom. The calculation puts the mass density at 5.06 g/cm³.